No. 1
# CsNaReS4, optimized geometry, DFT GGA-PBE
data_CsNaReS4
_chemical_formula_sum 'Cs2 Na2 Re2 S8'
_symmetry_space_group_name_H-M 'P 1'
_symmetry_Int_Tables_number 1
_cell_length_a 6.755
_cell_length_b 7.083
_cell_length_c 9.466
_cell_angle_alpha 90.00
_cell_angle_beta 107.65
_cell_angle_gamma 90.00
loop_
_symmetry_equiv_pos_as_xyz
'x,y,z'
loop_
_atom_site_label
_atom_site_type_symbol
_atom_site_fract_x
_atom_site_fract_y
_atom_site_fract_z
Cs1 Cs 0.720 0.750 0.927
Cs2 Cs 0.280 0.250 0.073
Na1 Na 0.766 0.750 0.452
Na2 Na 0.234 0.250 0.548
Re1 Re 0.205 0.750 0.326
Re2 Re 0.795 0.250 0.674
S1 S 0.997 0.499 0.712
S2 S 0.003 0.999 0.288
S3 S 0.003 0.501 0.288
S4 S 0.997 0.001 0.712
S5 S 0.397 0.750 0.175
S6 S 0.603 0.250 0.825
S7 S 0.398 0.750 0.556
S8 S 0.602 0.250 0.444
# symmetry	No. 11
# energy relative to the elements, uncorrected	-728	meV/atom

=====

No. 2
# PrEuZnHg, optimized geometry, DFT GGA-PBE
data_PrEuZnHg
_chemical_formula_sum 'Pr1 Eu1 Zn1 Hg1'
_symmetry_space_group_name_H-M 'P 1'
_symmetry_Int_Tables_number 1
_cell_length_a 5.390
_cell_length_b 5.390
_cell_length_c 5.390
_cell_angle_alpha 60.00
_cell_angle_beta 60.00
_cell_angle_gamma 60.00
loop_
_symmetry_equiv_pos_as_xyz
'x,y,z'
loop_
_atom_site_label
_atom_site_type_symbol
_atom_site_fract_x
_atom_site_fract_y
_atom_site_fract_z
Eu1 Eu 0.250 0.250 0.250
Pr1 Pr 0.750 0.750 0.750
Zn1 Zn 0.500 0.500 0.500
Hg1 Hg 0.000 0.000 0.000
# E_form	-0.385	eV/atom
# symmetry	No. 216

=====

No. 3
# Pr3TmCd8, optimized geometry, DFT GGA-PBE
data_Pr3TmCd8
_chemical_formula_sum 'Pr3 Tm1 Cd8'
_symmetry_space_group_name_H-M 'P 1'
_symmetry_Int_Tables_number 1
_cell_length_a 6.004
_cell_length_b 6.004
_cell_length_c 10.350
_cell_angle_alpha 73.14
_cell_angle_beta 73.14
_cell_angle_gamma 60.00
loop_
_symmetry_equiv_pos_as_xyz
'x,y,z'
loop_
_atom_site_label
_atom_site_type_symbol
_atom_site_fract_x
_atom_site_fract_y
_atom_site_fract_z
Pr1 Pr 0.375 0.375 0.874
Pr2 Pr 0.999 0.999 0.002
Pr3 Pr 0.500 0.500 0.500
Tm1 Tm 0.875 0.875 0.375
Cd1 Cd 0.935 0.437 0.190
Cd2 Cd 0.440 0.938 0.685
Cd3 Cd 0.437 0.437 0.190
Cd4 Cd 0.938 0.938 0.685
Cd5 Cd 0.187 0.187 0.438
Cd6 Cd 0.688 0.688 0.937
Cd7 Cd 0.437 0.935 0.190
Cd8 Cd 0.938 0.440 0.685
# E_form	-0.283	eV/atom
# symmetry	No. 160

=====

No. 4
# NaHPd2Rh, optimized geometry, DFT GGA-PBE
data_NaHPd2Rh
_chemical_formula_sum 'Na1 H1 Pd2 Rh1'
_symmetry_space_group_name_H-M 'P 1'
_symmetry_Int_Tables_number 1
_cell_length_a 4.168
_cell_length_b 4.168
_cell_length_c 3.795
_cell_angle_alpha 90.00
_cell_angle_beta 90.00
_cell_angle_gamma 90.00
loop_
_symmetry_equiv_pos_as_xyz
'x,y,z'
loop_
_atom_site_label
_atom_site_type_symbol
_atom_site_fract_x
_atom_site_fract_y
_atom_site_fract_z
Na1 Na 0.500 0.500 0.500
Rh1 Rh 0.000 0.000 0.500
Pd1 Pd 0.000 0.500 0.000
Pd2 Pd 0.500 0.000 0.000
H1 H 0.000 0.000 0.000
# energy relative to the lowest polymorph listed for this composition	0.00	eV/f.u.
# symmetry	No. 123

=====

No. 5
# K3RbNi2H8, optimized geometry, DFT GGA-PBE
data_K3RbNi2H8
_chemical_formula_sum 'K3 Rb1 Ni2 H8'
_symmetry_space_group_name_H-M 'P 1'
_symmetry_Int_Tables_number 1
_cell_length_a 5.711
_cell_length_b 5.711
_cell_length_c 9.228
_cell_angle_alpha 90.00
_cell_angle_beta 90.00
_cell_angle_gamma 120.00
loop_
_symmetry_equiv_pos_as_xyz
'x,y,z'
loop_
_atom_site_label
_atom_site_type_symbol
_atom_site_fract_x
_atom_site_fract_y
_atom_site_fract_z
K1 K 0.333 0.667 0.777
K2 K 0.667 0.333 0.223
K3 K 0.000 0.000 0.000
Rb1 Rb 0.000 0.000 0.500
Ni1 Ni 0.333 0.667 0.223
Ni2 Ni 0.667 0.333 0.777
H1 H 0.333 0.667 0.054
H2 H 0.667 0.333 0.946
H3 H 0.176 0.824 0.260
H4 H 0.824 0.176 0.740
H5 H 0.176 0.351 0.260
H6 H 0.824 0.649 0.740
H7 H 0.649 0.824 0.260
H8 H 0.351 0.176 0.740
# energy	-3.004	eV/atom
# symmetry	No. 164

=====

No. 6
# Ho8P3Pb3N, optimized geometry, DFT GGA-PBE
data_Ho8P3Pb3N
_chemical_formula_sum 'Ho8 P3 Pb3 N1'
_symmetry_space_group_name_H-M 'P 1'
_symmetry_Int_Tables_number 1
_cell_length_a 7.690
_cell_length_b 7.698
_cell_length_c 8.941
_cell_angle_alpha 115.50
_cell_angle_beta 90.00
_cell_angle_gamma 120.01
loop_
_symmetry_equiv_pos_as_xyz
'x,y,z'
loop_
_atom_site_label
_atom_site_type_symbol
_atom_site_fract_x
_atom_site_fract_y
_atom_site_fract_z
Ho1 Ho 0.267 0.535 0.302
Ho2 Ho 0.733 0.465 0.698
Ho3 Ho 0.788 0.576 0.318
Ho4 Ho 0.212 0.424 0.682
Ho5 Ho 0.788 0.030 0.317
Ho6 Ho 0.212 0.970 0.683
Ho7 Ho 0.242 0.030 0.318
Ho8 Ho 0.758 0.970 0.682
P1 P 0.500 0.000 0.500
P2 P 0.500 0.500 0.500
P3 P 0.000 0.500 0.500
Pb1 Pb 0.000 0.000 0.000
Pb2 Pb 0.000 0.500 0.000
Pb3 Pb 0.500 0.500 0.000
N1 N 0.000 0.000 0.500
# symmetry	No. 12
# energy relative to the elements, uncorrected	-1003	meV/atom